Record 1
Density functional theory data (PBE) for a relaxed TeAsOs2 crystal.

Cell lengths 4.386, 4.386, 5.445 Å; angles 78.25, 78.25, 41.39 degrees
Fractional positions:
As 0.250 0.250 0.250
Te 0.750 0.750 0.750
Os 0.996 0.996 0.031
Os 0.504 0.504 0.469

Computed properties:
- VASP energy: -27.9 eV per cell
- Volume: 16.90 Å³/atom
- E above lowest polymorph: 234 meV/atom
- ΔE_f (raw): 0.590 eV/atom

=====

Record 2
Density functional theory data (PBE) for a relaxed TeAs2Os crystal.

Cell lengths 4.178, 4.175, 5.441 Å; angles 88.66, 90.00, 90.00 degrees
Fractional positions:
As 0.000 0.985 0.172
As 0.500 0.374 0.185
Te 0.500 0.636 0.715
Os 0.000 0.505 0.427

Computed properties:
- VASP energy: -22.6 eV per cell
- Volume: 23.71 Å³/atom
- ΔE_f (raw): 0.270 eV/atom

=====

Record 3
Density functional theory data (PBE) for a relaxed Te2AsOs crystal.

Cell lengths 4.863, 4.863, 4.865 Å; angles 69.58, 69.58, 107.61 degrees
Fractional positions:
As 0.500 0.000 0.500
Te 0.000 0.000 0.000
Te 0.500 0.500 0.000
Os 0.000 0.500 0.500

Computed properties:
- VASP energy: -19.6 eV per cell
- Volume: 22.12 Å³/atom
- ΔE_f (raw): 0.634 eV/atom

=====

Record 4
Density functional theory data (PBE) for a relaxed Te2AsOs crystal.

Cell lengths 4.964, 4.964, 3.296 Å; angles 90.00, 90.00, 90.07 degrees
Fractional positions:
As 0.500 0.000 0.500
Te 0.000 0.000 0.000
Te 0.500 0.500 0.000
Os 0.000 0.500 0.500

Computed properties:
- VASP energy: -19.0 eV per cell
- Volume: 20.30 Å³/atom
- ΔE_f (raw): 0.802 eV/atom